1.
A geometry-optimized ScTcMo2 structure. Source: Alexandria via LeMat-Bulk, functional PBE. Values from VASP.

```
&SYSTEM
  ibrav = 0, nat = 4, ntyp = 3
/
ATOMIC_SPECIES
Sc 44.96 Sc.upf
Tc 98.00 Tc.upf
Mo 95.94 Mo.upf
ATOMIC_POSITIONS crystal
Sc 0.0000 0.0000 0.0000
Tc 0.0000 0.0000 0.5000
Mo 0.5000 0.5000 0.2667
Mo 0.5000 0.5000 0.7333
CELL_PARAMETERS angstrom
1.5992 -2.2787 0.0000
1.5992 2.2787 0.0000
0.0000 0.0000 9.1130
```

Calculated values
- offset from the most stable computed form (eV per atom) = 0.249
- energy of formation from the pure elements (eV per atom) = 0.1408
- symmetry = No. 65
- N(E_F) (states/eV per cell) = 4.22
- total DFT energy (no corrections) (eV per formula unit) = -37.8


2.
A geometry-optimized CaNd2Sm structure. Source: Alexandria via LeMat-Bulk, functional PBE. Values from VASP.

```
&SYSTEM
  ibrav = 0, nat = 4, ntyp = 3
/
ATOMIC_SPECIES
Ca 40.08 Ca.upf
Nd 144.24 Nd.upf
Sm 150.36 Sm.upf
ATOMIC_POSITIONS crystal
Ca 0.0000 0.0000 0.0000
Nd 0.5000 0.5000 0.2649
Nd 0.5000 0.5000 0.7351
Sm 0.0000 0.0000 0.5000
CELL_PARAMETERS angstrom
3.6946 0.0000 0.0000
0.0000 3.6946 0.0000
0.0000 0.0000 10.5986
```

Calculated values
- offset from the most stable computed form (eV per atom) = 0.005
- energy of formation from the pure elements (eV per atom) = 0.0407
- symmetry = No. 123
- N(E_F) (states/eV per cell) = 5.64
- total DFT energy (no corrections) (eV per formula unit) = -16.1


3.
A geometry-optimized Pu2IrPb structure. Source: Alexandria via LeMat-Bulk, functional PBE. Values from VASP.

```
&SYSTEM
  ibrav = 0, nat = 4, ntyp = 3
/
ATOMIC_SPECIES
Pu 244.00 Pu.upf
Ir 192.22 Ir.upf
Pb 207.20 Pb.upf
ATOMIC_POSITIONS crystal
Pu 0.2317 0.2317 0.2317
Pu 0.7683 0.7683 0.7683
Ir 0.5000 0.5000 0.5000
Pb 0.0000 0.0000 0.0000
CELL_PARAMETERS angstrom
1.9890 1.1484 8.0095
-1.9890 1.1484 8.0095
0.0000 -2.2967 8.0095
```

Calculated values
- offset from the most stable computed form (eV per atom) = 0.094
- energy of formation from the pure elements (eV per atom) = -0.2459
- symmetry = No. 166
- N(E_F) (states/eV per cell) = 12.83
- total DFT energy (no corrections) (eV per formula unit) = -42.2


4.
A geometry-optimized Mg2Zn15Rh2 structure. Source: Alexandria via LeMat-Bulk, functional PBE. Values from VASP.

```
&SYSTEM
  ibrav = 0, nat = 19, ntyp = 3
/
ATOMIC_SPECIES
Mg 24.30 Mg.upf
Zn 65.41 Zn.upf
Rh 102.91 Rh.upf
ATOMIC_POSITIONS crystal
Mg 0.1758 0.1758 0.1758
Mg 0.8242 0.8242 0.8242
Zn 0.0000 0.5000 0.5000
Zn 0.1437 0.1437 0.6490
Zn 0.1437 0.6490 0.1437
Zn 0.2134 0.5000 0.7866
Zn 0.2134 0.7866 0.5000
Zn 0.3510 0.8563 0.8563
Zn 0.5000 0.0000 0.5000
Zn 0.5000 0.2134 0.7866
Zn 0.5000 0.5000 0.0000
Zn 0.5000 0.7866 0.2134
Zn 0.6490 0.1437 0.1437
Zn 0.7866 0.2134 0.5000
Zn 0.7866 0.5000 0.2134
Zn 0.8563 0.3510 0.8563
Zn 0.8563 0.8563 0.3510
Rh 0.3896 0.3896 0.3896
Rh 0.6104 0.6104 0.6104
CELL_PARAMETERS angstrom
4.4474 2.5677 4.3415
-4.4474 2.5677 4.3415
0.0000 -5.1354 4.3415
```

Calculated values
- energy of formation from the pure elements (eV per atom) = -0.1011
- symmetry = No. 166
- N(E_F) (states/eV per cell) = 7.53
- total DFT energy (no corrections) (eV per formula unit) = -38.9


5.
A geometry-optimized Ho5ZnGa2 structure. Source: Alexandria via LeMat-Bulk, functional PBE. Values from VASP.

```
&SYSTEM
  ibrav = 0, nat = 16, ntyp = 3
/
ATOMIC_SPECIES
Ho 164.93 Ho.upf
Zn 65.41 Zn.upf
Ga 69.72 Ga.upf
ATOMIC_POSITIONS crystal
Ho 0.0000 0.0000 0.0000
Ho 0.0244 0.5244 0.8433
Ho 0.1810 0.0244 0.5000
Ho 0.3190 0.8190 0.8433
Ho 0.4756 0.3190 0.5000
Ho 0.5000 0.5000 0.0000
Ho 0.5244 0.6810 0.5000
Ho 0.6810 0.1810 0.1567
Ho 0.8190 0.9756 0.5000
Ho 0.9756 0.4756 0.1567
Zn 0.2500 0.2500 0.0000
Zn 0.7500 0.7500 0.0000
Ga 0.1214 0.3786 0.5000
Ga 0.3786 0.8786 0.2571
Ga 0.6214 0.1214 0.7429
Ga 0.8786 0.6214 0.5000
CELL_PARAMETERS angstrom
-3.7381 3.7381 7.2991
3.7381 -3.7381 7.2991
3.7381 3.7381 -7.2991
```

Calculated values
- offset from the most stable computed form (eV per atom) = 0.000
- energy of formation from the pure elements (eV per atom) = -0.3912
- symmetry = No. 140
- N(E_F) (states/eV per cell) = 11.89
- total DFT energy (no corrections) (eV per formula unit) = -33.3


6.
A geometry-optimized U4Tc2Os structure. Source: Alexandria via LeMat-Bulk, functional PBE. Values from VASP.

```
&SYSTEM
  ibrav = 0, nat = 14, ntyp = 3
/
ATOMIC_SPECIES
U 238.03 U.upf
Tc 98.00 Tc.upf
Os 190.23 Os.upf
ATOMIC_POSITIONS crystal
U 0.0326 0.8226 0.7165
U 0.1774 0.9674 0.7835
U 0.2412 0.4674 0.2018
U 0.4674 0.2412 0.7018
U 0.5326 0.7588 0.2982
U 0.7588 0.5326 0.7982
U 0.8226 0.0326 0.2165
U 0.9674 0.1774 0.2835
Tc 0.1306 0.3227 0.2894
Tc 0.3227 0.1306 0.7894
Tc 0.6773 0.8694 0.2106
Tc 0.8694 0.6773 0.7106
Os 0.3987 0.6013 0.2500
Os 0.6013 0.3987 0.7500
CELL_PARAMETERS angstrom
9.4148 -2.7387 0.0000
9.4148 2.7387 0.0000
-0.8030 0.0000 4.9254
```

Calculated values
- energy of formation from the pure elements (eV per atom) = -0.0408
- symmetry = No. 15
- N(E_F) (states/eV per cell) = 24.73
- total DFT energy (no corrections) (eV per formula unit) = -77.4


7.
A geometry-optimized Pm2Pd9Pb structure. Source: Alexandria via LeMat-Bulk, functional PBE. Values from VASP.

```
&SYSTEM
  ibrav = 0, nat = 12, ntyp = 3
/
ATOMIC_SPECIES
Pm 145.00 Pm.upf
Pd 106.42 Pd.upf
Pb 207.20 Pb.upf
ATOMIC_POSITIONS crystal
Pm 0.0000 0.0000 0.1683
Pm 0.0000 0.0000 0.8317
Pd 0.0000 0.5000 0.0000
Pd 0.0000 0.5000 0.3384
Pd 0.0000 0.5000 0.6616
Pd 0.5000 0.0000 0.0000
Pd 0.5000 0.0000 0.3384
Pd 0.5000 0.0000 0.6616
Pd 0.5000 0.5000 0.1708
Pd 0.5000 0.5000 0.5000
Pd 0.5000 0.5000 0.8292
Pb 0.0000 0.0000 0.5000
CELL_PARAMETERS angstrom
4.1712 0.0000 0.0000
0.0000 4.1712 0.0000
0.0000 0.0000 12.4210
```

Calculated values
- energy of formation from the pure elements (eV per atom) = -0.6242
- symmetry = No. 123
- N(E_F) (states/eV per cell) = 4.76
- total DFT energy (no corrections) (eV per formula unit) = -67.4


8.
A geometry-optimized EuCdTe2 structure. Source: Alexandria via LeMat-Bulk, functional PBE. Values from VASP.

```
&SYSTEM
  ibrav = 0, nat = 4, ntyp = 3
/
ATOMIC_SPECIES
Eu 151.96 Eu.upf
Cd 112.41 Cd.upf
Te 127.60 Te.upf
ATOMIC_POSITIONS crystal
Eu 0.0000 0.0000 0.0000
Cd 0.5000 0.5000 0.5000
Te 0.3952 0.3952 0.3952
Te 0.6048 0.6048 0.6048
CELL_PARAMETERS angstrom
2.5129 1.4508 8.4579
-2.5129 1.4508 8.4579
0.0000 -2.9017 8.4579
```

Calculated values
- symmetry = No. 166
- N(E_F) (states/eV per cell) = 14.02
- uncorrected formation energy (eV per atom) = -0.83
- total DFT energy (no corrections) (eV per formula unit) = -20.8


Number 7 is which compound? Pm2Pd9Pb


The highest total DFT energy (no corrections) belongs to which entry? CaNd2Sm